Here is a relaxed structure of BC from Alexandria. Energies are from GGA-PBE.

Output
The size of the total moment is 0.00 μB/cell. The calculated formation energy is 0.524 eV per atom. Its crystal system is hexagonal. As for the offset from the most stable computed form: 373 meV/atom. The calculation puts the density of states at the Fermi level at 0.40 states/eV/f.u.

a b c (Å): 6.390 6.390 2.715
angles (deg): 90.00 90.00 120.00
Fractional coordinates of all 12 atoms:
B 0.591 0.711 0.750
B 0.120 0.409 0.750
B 0.409 0.289 0.250
B 0.711 0.120 0.250
B 0.289 0.880 0.750
B 0.880 0.591 0.250
C 0.649 0.624 0.250
C 0.025 0.649 0.750
C 0.376 0.025 0.250
C 0.624 0.975 0.750
C 0.975 0.351 0.250
C 0.351 0.376 0.750

Here is a relaxed structure of B7C5 from Alexandria. Energies are from GGA-PBE.

Output
The size of the total moment is 0.00 μB/cell. The calculated formation energy is 0.380 eV per atom. Its crystal system is orthorhombic. As for the offset from the most stable computed form: 216 meV/atom. The calculation puts the density of states at the Fermi level at 1.54 states/eV/f.u.

a b c (Å): 2.429 2.448 13.560
angles (deg): 90.00 90.00 90.00
Fractional coordinates of all 12 atoms:
B 0.500 0.500 0.154
B 0.000 0.500 0.733
B 0.500 0.000 0.928
B 0.500 0.000 0.249
B 0.000 0.000 0.349
B 0.500 0.500 0.831
B 0.500 0.500 0.507
C 0.000 0.500 0.427
C 0.500 0.000 0.589
C 0.000 0.000 0.010
C 0.000 0.000 0.651
C 0.000 0.500 0.071